A plane-wave DFT calculation with GGA+U was carried out for a relaxed structure of K4ThMo4O16.

```
data_K4ThMo4O16
_chemical_formula_sum 'K8 Th2 Mo8 O32'
_symmetry_space_group_name_H-M 'P 1'
_symmetry_Int_Tables_number 1
_symmetry_space_group_name_Hall 'P 1'
_cell_length_a 10.693
_cell_length_b 10.693
_cell_length_c 10.693
_cell_angle_alpha 112.73
_cell_angle_beta 112.73
_cell_angle_gamma 103.14
loop_
_atom_site_label
_atom_site_type_symbol
_atom_site_fract_x
_atom_site_fract_y
_atom_site_fract_z
K1 K 0.420 0.781 0.165
K2 K 0.531 0.866 0.861
K3 K 0.616 0.255 0.835
K4 K 0.005 0.670 0.139
K5 K 0.219 0.384 0.639
K6 K 0.745 0.580 0.361
K7 K 0.330 0.469 0.335
K8 K 0.134 0.995 0.665
Th1 Th 0.000 0.000 0.000
Th2 Th 0.750 0.250 0.500
Mo1 Mo 0.081 0.669 0.767
Mo2 Mo 0.903 0.314 0.233
Mo3 Mo 0.847 0.936 0.267
Mo4 Mo 0.331 0.097 0.412
Mo5 Mo 0.669 0.581 0.733
Mo6 Mo 0.419 0.153 0.088
Mo7 Mo 0.064 0.331 0.912
Mo8 Mo 0.686 0.919 0.588
O1 O 0.213 0.040 0.967
O2 O 0.865 0.416 0.137
O3 O 0.028 0.714 0.617
O4 O 0.719 0.485 0.589
O5 O 0.754 0.787 0.827
O6 O 0.790 0.323 0.327
O7 O 0.589 0.972 0.686
O8 O 0.279 0.728 0.863
O9 O 0.272 0.135 0.551
O10 O 0.471 0.522 0.637
O11 O 0.677 0.004 0.467
O12 O 0.166 0.529 0.051
O13 O 0.854 0.120 0.089
O14 O 0.537 0.210 0.533
O15 O 0.896 0.130 0.411
O16 O 0.870 0.281 0.766
O17 O 0.722 0.536 0.883
O18 O 0.654 0.839 0.117
O19 O 0.880 0.969 0.734
O20 O 0.996 0.463 0.673
O21 O 0.096 0.411 0.383
O22 O 0.073 0.246 0.033
O23 O 0.515 0.104 0.234
O24 O 0.885 0.834 0.363
O25 O 0.464 0.346 0.186
O26 O 0.478 0.115 0.949
O27 O 0.960 0.927 0.173
O28 O 0.161 0.278 0.814
O29 O 0.031 0.765 0.911
O30 O 0.286 0.904 0.314
O31 O 0.235 0.146 0.266
O32 O 0.584 0.721 0.449
```

Properties
**Crystal system**: tetragonal
**Final energy**: -342.8 eV per cell
**Space group**: I4_1/a